{"formula": "SmTmIn", "functional": "PBE", "state": "optimized geometry", "polymorph_energy_ev_per_atom": 0.001, "mass_density_g_cm3": 8.40, "spacegroup": "P6_3/mmc, No. 194", "total_magnetization_mub_per_fu": 0.0, "lattice_angstrom": [[5.4104, 0.0000, 0.0000], [-2.7052, 4.6856, 0.0000], [0.0000, 0.0000, 6.7675]], "species": ["Sm", "Sm", "Tm", "Tm", "In", "In"], "fractional_positions": [[0.0000, 0.0000, 0.0000], [0.0000, 0.0000, 0.5000], [0.3333, 0.6667, 0.2500], [0.6667, 0.3333, 0.7500], [0.3333, 0.6667, 0.7500], [0.6667, 0.3333, 0.2500]]}